Entry 1:
{
  "formula": "NaSr3Tb2Te6",
  "functional": "GGA-PBE",
  "state": "relaxed",
  "cell": [[-2.161, 7.618, -0.477], [-0.676, -3.887, 6.882], [7.899, 0.847, -0.270]],
  "species": ["Na", "Sr", "Sr", "Sr", "Tb", "Tb", "Te", "Te", "Te", "Te", "Te", "Te"],
  "frac_coords": [[0.000, 0.000, 0.000], [0.163, 0.837, 0.500], [0.837, 0.163, 0.500], [0.500, 0.500, 0.500], [0.332, 0.668, 0.000], [0.668, 0.332, 0.000], [0.922, 0.580, 0.767], [0.735, 0.735, 0.230], [0.078, 0.420, 0.233], [0.580, 0.922, 0.767], [0.265, 0.265, 0.770], [0.420, 0.078, 0.233]],
  "total_energy_ev_per_cell": -52.58,
  "sg": "No. 12",
  "e_form_raw_kj_per_mol_fu": -1746.5,
  "magnetic_moment_mub_per_cell": 0.00
}

Entry 2:
{
  "formula": "NaSr2TbTe4",
  "functional": "GGA-PBE",
  "state": "relaxed",
  "cell": [[-3.298, 2.833, 1.541], [-2.822, 0.774, -7.461], [-3.638, -6.127, 3.476]],
  "species": ["Na", "Sr", "Sr", "Tb", "Te", "Te", "Te", "Te"],
  "frac_coords": [[0.500, 0.500, 0.000], [0.500, 0.000, 0.500], [0.000, 0.500, 0.500], [0.000, 0.000, 0.000], [0.500, 0.237, 0.230], [0.500, 0.763, 0.770], [0.000, 0.243, 0.764], [0.000, 0.757, 0.236]],
  "total_energy_ev_per_cell": -33.81,
  "sg": "No. 10",
  "e_form_raw_kj_per_mol_fu": -1150.8,
  "magnetic_moment_mub_per_cell": 0.00
}

Entry 3:
{
  "formula": "NaSr4Tb3Te8",
  "functional": "GGA-PBE",
  "state": "relaxed",
  "cell": [[-4.682, 7.524, 2.120], [-1.573, -3.341, 8.384], [8.548, 0.670, -3.081]],
  "species": ["Na", "Sr", "Sr", "Sr", "Sr", "Tb", "Tb", "Tb", "Te", "Te", "Te", "Te", "Te", "Te", "Te", "Te"],
  "frac_coords": [[0.000, 0.500, 0.000], [0.500, 0.000, 0.000], [0.500, 0.000, 0.500], [0.000, 0.000, 0.000], [0.000, 0.000, 0.500], [0.500, 0.500, 0.000], [0.500, 0.500, 0.500], [0.000, 0.500, 0.500], [0.246, 0.732, 0.985], [0.246, 0.732, 0.493], [0.256, 0.269, 0.512], [0.739, 0.732, 0.985], [0.261, 0.268, 0.015], [0.744, 0.731, 0.488], [0.754, 0.268, 0.507], [0.754, 0.268, 0.015]],
  "total_energy_ev_per_cell": -71.22,
  "sg": "No. 166",
  "e_form_raw_kj_per_mol_fu": -2330.4,
  "magnetic_moment_mub_per_cell": 0.00
}

Entry 4:
{
  "formula": "NaSrTbTl",
  "functional": "GGA-PBE",
  "state": "relaxed",
  "cell": [[-0.801, -2.097, 5.192], [3.556, -3.888, 2.060], [3.563, 1.357, 4.179]],
  "species": ["Sr", "Tl", "Tb", "Na"],
  "frac_coords": [[0.250, 0.250, 0.250], [0.500, 0.500, 0.500], [0.750, 0.750, 0.750], [0.000, 0.000, 0.000]],
  "total_energy_ev_per_cell": -10.30,
  "sg": "No. 216",
  "magnetic_moment_mub_per_cell": 0.00
}

Entry 5:
{
  "formula": "NaSr3Tc",
  "functional": "GGA-PBE",
  "state": "relaxed",
  "cell": [[6.184, 0.000, 0.000], [0.000, 6.184, 0.000], [0.000, 0.000, 6.184]],
  "species": ["Sr", "Sr", "Sr", "Tc", "Na"],
  "frac_coords": [[0.000, 0.500, 0.000], [0.000, 0.000, 0.500], [0.500, 0.000, 0.000], [0.500, 0.500, 0.500], [0.000, 0.000, 0.000]],
  "total_energy_ev_per_cell": -10.43,
  "sg": "No. 221",
  "de_polymorph_mev_per_atom": 783,
  "magnetic_moment_mub_per_cell": 3.23
}

Entry 6:
{
  "formula": "NaSrTc2",
  "functional": "GGA-PBE",
  "state": "relaxed",
  "cell": [[0.000, 3.578, 3.578], [3.578, 0.000, 3.578], [3.578, 3.578, 0.000]],
  "species": ["Sr", "Tc", "Tc", "Na"],
  "frac_coords": [[0.500, 0.500, 0.500], [0.250, 0.250, 0.250], [0.750, 0.750, 0.750], [0.000, 0.000, 0.000]],
  "total_energy_ev_per_cell": -17.64,
  "sg": "No. 225",
  "de_polymorph_mev_per_atom": 102,
  "magnetic_moment_mub_per_cell": 5.22
}

Entry 7:
{
  "formula": "NaSr3Tc",
  "functional": "GGA-PBE",
  "state": "relaxed",
  "cell": [[5.950, 0.000, 0.000], [0.000, 5.950, 0.000], [0.000, 0.000, 5.950]],
  "species": ["Sr", "Sr", "Sr", "Tc", "Na"],
  "frac_coords": [[0.000, 0.500, 0.000], [0.000, 0.000, 0.500], [0.500, 0.000, 0.000], [0.000, 0.000, 0.000], [0.500, 0.500, 0.500]],
  "total_energy_ev_per_cell": -14.34,
  "sg": "No. 221",
  "de_polymorph_mev_per_atom": 0,
  "magnetic_moment_mub_per_cell": 1.40
}

Entry 8:
{
  "formula": "NaSrTc2",
  "functional": "GGA-PBE",
  "state": "relaxed",
  "cell": [[-7.362, 2.956, 2.735], [-3.956, -4.242, -6.063], [-5.883, -2.613, -0.140]],
  "species": ["Sr", "Sr", "Tc", "Tc", "Tc", "Tc", "Na", "Na"],
  "frac_coords": [[0.000, 0.000, 0.000], [0.750, 0.250, 0.500], [0.593, 0.125, 0.250], [0.157, 0.625, 0.250], [0.375, 0.407, 0.750], [0.875, 0.843, 0.750], [0.500, 0.500, 0.000], [0.250, 0.750, 0.500]],
  "total_energy_ev_per_cell": -36.09,
  "sg": "No. 122",
  "de_polymorph_mev_per_atom": 0,
  "magnetic_moment_mub_per_cell": 2.24
}

> Which formula does entry 2 have?

NaSr2TbTe4